Computed, not measured: an optimized crystal structure of FeBrF2 at the GGA+U level of DFT.

Output
- VASP energy (eV per atom) = -3.359
- offset from the most stable computed form (eV per atom) = 1.0293

a = 4.3028 Å, b = 4.3028 Å, c = 4.3028 Å
α = 60.00°, β = 60.00°, γ = 60.00°
Site moments in Bohr magnetons follow the coordinates.
Positions (direct):
Br 0.5000 0.5000 0.5000  0.60
F 0.2500 0.2500 0.2500  0.17
F 0.7500 0.7500 0.7500  0.17
Fe 0.0000 0.0000 0.0000  3.88